No. 1
The following is a GGA-PBE calculation of a geometry-optimized LaMg2VN4 structure, from Alexandria via LeMat-Bulk. Values from VASP.

Quantum ESPRESSO input file:
```
&SYSTEM
  ibrav = 0, nat = 16, ntyp = 4
/
ATOMIC_SPECIES
La 138.91 La.upf
Mg 24.30 Mg.upf
V 50.94 V.upf
N 14.01 N.upf
CELL_PARAMETERS angstrom
-1.0472 -4.0979 -3.4354
5.1071 -2.5427 1.4763
-3.2838 -3.5533 5.2395
ATOMIC_POSITIONS angstrom
La -1.9027 -6.1633 -0.5186
La 3.8437 -4.1206 -0.3855
Mg 0.3803 -3.7889 0.1378
Mg -1.2330 -5.5347 2.7121
Mg -0.1429 -8.4322 1.5146
Mg 1.5275 -6.6247 -1.1507
V 1.9511 -5.8763 2.0913
V 0.9900 -0.4940 0.2854
N 0.8214 -1.9422 -0.8023
N 1.4250 -7.1465 0.9002
N -1.5053 -3.9439 1.2356
N 3.4951 -6.1491 -1.9797
N 0.7153 -5.7639 3.4230
N 0.0691 -5.1577 -1.4246
N -1.8413 -7.2249 1.6236
N 2.0887 -4.2778 1.2317
```

Properties
Uncorrected formation energy ... -8.7 eV/f.u.


No. 2
The following is a GGA-PBE calculation of a geometry-optimized KBa3Ac2O6 structure, from Alexandria via LeMat-Bulk. Values from VASP.

Quantum ESPRESSO input file:
```
&SYSTEM
  ibrav = 0, nat = 12, ntyp = 4
/
ATOMIC_SPECIES
K 39.10 K.upf
Ba 137.33 Ba.upf
Ac 227.00 Ac.upf
O 16.00 O.upf
CELL_PARAMETERS angstrom
-0.3689 -2.9838 2.4924
7.1572 1.5138 2.8716
-4.9223 6.1207 3.5394
ATOMIC_POSITIONS angstrom
K -0.1844 -1.4919 1.2462
Ba 3.3941 -0.7350 2.6820
Ba -2.4845 1.8902 4.9546
Ba 4.3505 2.7605 3.9487
Ac 1.2113 2.6320 6.3897
Ac 0.6546 2.0187 2.5136
O 3.0183 4.3641 5.6712
O 2.0452 0.9673 4.5202
O -1.1523 0.2867 3.2321
O 1.7913 0.5451 0.9177
O 0.0747 4.1057 7.9857
O -0.1792 3.6834 4.3831
```

Properties
Uncorrected formation energy ... -30.2 eV/f.u.


No. 3
The following is a GGA-PBE calculation of a geometry-optimized CePm3Sn2 structure, from Alexandria via LeMat-Bulk. Values from VASP.

Quantum ESPRESSO input file:
```
&SYSTEM
  ibrav = 0, nat = 12, ntyp = 3
/
ATOMIC_SPECIES
Ce 140.12 Ce.upf
Pm 145.00 Pm.upf
Sn 118.71 Sn.upf
CELL_PARAMETERS angstrom
8.7081 0.7766 0.5655
4.5552 7.4622 0.5655
4.5552 2.8296 6.9280
ATOMIC_POSITIONS angstrom
Ce 8.9092 5.5342 4.0295
Ce 0.0000 0.0000 0.0000
Pm 7.6754 2.6635 5.4787
Pm 5.7890 6.9644 3.7425
Pm 8.8086 4.2075 0.8524
Pm 10.1430 8.4048 2.5802
Pm 12.0294 4.1039 4.3164
Pm 9.0098 6.8608 7.2065
Sn 6.3424 3.9397 2.8685
Sn 2.5668 1.5945 1.1609
Sn 15.2516 9.4739 6.8980
Sn 11.4761 7.1286 5.1904
```

Properties
Raw total energy ... -4.90 eV per atom


No. 4
The following is a GGA-PBE calculation of a geometry-optimized Pr2Nd4H structure, from Alexandria via LeMat-Bulk. Values from VASP.

Quantum ESPRESSO input file:
```
&SYSTEM
  ibrav = 0, nat = 7, ntyp = 3
/
ATOMIC_SPECIES
Pr 140.91 Pr.upf
H 1.01 H.upf
Nd 144.24 Nd.upf
CELL_PARAMETERS angstrom
5.0008 0.0000 0.0000
0.0000 5.0008 0.0000
-2.5004 -2.5004 8.9604
ATOMIC_POSITIONS angstrom
Pr 2.5004 2.5004 2.6434
Pr 0.0000 0.0000 6.3170
H 0.0000 0.0000 0.0000
Nd 2.5004 2.5004 6.2425
Nd 0.0000 0.0000 2.7179
Nd 0.0000 2.5004 0.0000
Nd 2.5004 0.0000 0.0000
```

Properties
Raw total energy ... -4.51 eV per atom


No. 5
The following is a GGA-PBE calculation of a geometry-optimized Th3PN3 structure, from Alexandria via LeMat-Bulk. Values from VASP.

Quantum ESPRESSO input file:
```
&SYSTEM
  ibrav = 0, nat = 14, ntyp = 3
/
ATOMIC_SPECIES
Th 232.04 Th.upf
P 30.97 P.upf
N 14.01 N.upf
CELL_PARAMETERS angstrom
-5.5957 4.1992 -0.1457
-3.2266 1.7377 5.9613
1.2250 7.5520 2.5688
ATOMIC_POSITIONS angstrom
Th -2.8342 4.2171 3.9783
Th -5.5372 6.4466 2.1302
Th -5.6366 6.0751 6.0729
Th -1.9607 7.4138 2.3115
Th -2.0601 7.0422 6.2542
Th -4.7632 9.2717 4.4060
P -2.9396 1.9805 1.9387
P -4.6577 11.5083 6.4456
N -4.2486 7.9908 6.3400
N -4.1376 8.3659 2.2883
N -1.3647 6.0775 4.1971
N -6.2326 7.4114 4.1872
N -3.4598 5.1229 6.0960
N -3.3488 5.4981 2.0444
```

Properties
Uncorrected formation energy ... -11.2 eV/f.u.


No. 6
The following is a GGA-PBE calculation of a geometry-optimized RbI4O12 structure, from Alexandria via LeMat-Bulk. Values from VASP.

Quantum ESPRESSO input file:
```
&SYSTEM
  ibrav = 0, nat = 17, ntyp = 3
/
ATOMIC_SPECIES
Rb 85.47 Rb.upf
I 126.90 I.upf
O 16.00 O.upf
CELL_PARAMETERS angstrom
6.8986 0.0000 0.0000
-2.2995 6.5041 0.0000
-2.2995 -3.2521 5.6327
ATOMIC_POSITIONS angstrom
Rb 0.0000 0.0000 0.0000
I -1.1498 3.2521 0.0000
I 3.4493 0.0000 0.0000
I 1.1498 1.6260 2.8164
I -1.1498 -1.6260 2.8164
O 4.6129 1.6163 0.3508
O 0.2865 2.5257 1.2243
O 4.3126 -0.9290 4.0576
O -0.0138 -2.1401 4.4084
O -2.0131 4.1810 1.5751
O 2.0131 0.7264 4.4084
O 2.2857 0.5043 1.5751
O 0.0138 2.7478 4.0576
O 2.3134 5.3921 1.2243
O 2.5860 3.0495 2.8333
O -0.2865 0.2026 2.7994
O -2.3134 1.6358 5.2819
```

Properties
Uncorrected formation energy ... -2.2 eV/f.u.


Total moment in Bohr magnetons per cell, matching the order above: 0.0 0.0 4.3 0.0 0.0 0.0